No. 1
A plane-wave DFT calculation with PBE+U was carried out for a relaxed Cr2FeTeO8 crystal.

abc: 4.5705 4.5705 6.0430
angles: 90.00 90.00 90.92
With the nearest neighbours (Å) after each atom.
Positions (direct):
Cr (0.0000, 0.0000, 0.2423)  6 O 1.93-2.01
Cr (0.0000, 0.0000, 0.7577)  6 O 1.93-2.01
Fe (0.5000, 0.5000, 0.0000)  6 O 1.94-1.96
Te (0.5000, 0.5000, 0.5000)  6 O 1.95
O (0.1957, 0.1957, 0.5000)  1 Te 1.95, 2 Cr 2.00
O (0.1971, 0.1971, 0.0000)  2 Cr 1.93, 1 Fe 1.94
O (0.3087, 0.6913, 0.2509)  1 Te 1.95, 1 Fe 1.96, 1 Cr 2.01
O (0.3087, 0.6913, 0.7491)  1 Te 1.95, 1 Fe 1.96, 1 Cr 2.01
O (0.6913, 0.3087, 0.2509)  1 Te 1.95, 1 Fe 1.96, 1 Cr 2.01
O (0.6913, 0.3087, 0.7491)  1 Te 1.95, 1 Fe 1.96, 1 Cr 2.01
O (0.8029, 0.8029, 0.0000)  2 Cr 1.93, 1 Fe 1.94
O (0.8043, 0.8043, 0.5000)  1 Te 1.95, 2 Cr 2.00

SG = Cmmm (65)
DFT total energy = -6.607 eV/atom


No. 2
A plane-wave DFT calculation with PBE+U was carried out for a relaxed ThCrFe2O6 crystal.

abc: 5.2793 5.3070 5.6496
angles: 62.37 89.76 60.22
With the nearest neighbours (Å) after each atom.
Positions (direct):
Th (0.0000, 0.0000, 0.0000)  6 O 2.26-2.47
Cr (0.5258, 0.9498, 0.5723)  6 O 2.02-2.10
Fe (0.2116, 0.5789, 0.6266)  6 O 1.94-2.02
Fe (0.7303, 0.5391, 0.1839)  5 O 2.02-2.20
O (0.1303, 0.0437, 0.3811)  2 Fe 1.99-2.10, 1 Cr 2.06
O (0.3531, 0.1001, 0.8372)  1 Fe 1.94, 1 Cr 2.02
O (0.4397, 0.4418, 0.3796)  2 Fe 2.00-2.02, 1 Cr 2.10
O (0.5502, 0.5168, 0.8483)  2 Fe 1.98-2.20, 1 Cr 2.03
O (0.8203, 0.7465, 0.3754)  2 Fe 2.02-2.06, 1 Cr 2.06
O (0.9334, 0.7023, 0.8510)  2 Fe 2.00-2.20, 1 Cr 2.03

SG = P1 (1)
DFT total energy = -7.480 eV/atom